Computed, not measured: an optimized crystal structure of CoSbPb2 at the PBE-GGA level of DFT.

a = 9.600 Å, b = 9.600 Å, c = 9.600 Å
α = 20.97°, β = 20.97°, γ = 20.97°
Fractional positions:
Co 0.000 0.000 0.000
Sb 0.719 0.719 0.719
Pb 0.264 0.264 0.264
Pb 0.490 0.490 0.490

Properties
* energy above the most stable polymorph in this dataset: 28.4 meV/atom
* space group: No. 160
* density of states at the Fermi level: 0.613 states/eV/atom